# Ga2AgPt PBE optimized geometry
data_Ga2AgPt
_space_group_name_H-M_alt 'P 1'
_space_group_IT_number 1
_space_group_name_Hall 'P 1'
_cell_length_a 4.2265
_cell_length_b 2.8388
_cell_length_c 12.5894
_cell_angle_alpha 90.00
_cell_angle_beta 109.29
_cell_angle_gamma 90.00
loop_
_atom_site_label
_atom_site_type_symbol
_atom_site_fract_x
_atom_site_fract_y
_atom_site_fract_z
Ga1 Ga 0.5675 0.0000 0.1492
Ga2 Ga 0.5675 0.5000 0.6492
Ga3 Ga 0.8418 0.0000 0.9227
Ga4 Ga 0.8418 0.5000 0.4227
Ag1 Ag 0.2535 0.0000 0.3335
Ag2 Ag 0.2535 0.5000 0.8335
Pt1 Pt 0.0299 0.0000 0.6114
Pt2 Pt 0.0299 0.5000 0.1114
# Spin magnetization: 0.0 μB/f.u.
# Relative energy among the computed polymorphs: 38 meV/atom
# ΔH_f (0 K): -0.282 eV per atom